Entry 1:
An optimized crystal structure of CaNi4SnAs2, computed with PBE.

mass density	6750	kg/m³
VASP energy	-5.203	eV/atom
calculated volume	133.7	Å³/cell
calculated formation energy	-399	meV/atom
spin magnetization	0.0000	μB/atom

Lattice parameters (Å, degrees): 4.140 4.140 7.798 90.00 90.00 90.00
Positions (direct):
Ca 0.000 0.000 0.000
Ni 0.000 0.500 0.306
Ni 0.000 0.500 0.694
Ni 0.500 0.000 0.306
Ni 0.500 0.000 0.694
Sn 0.000 0.000 0.500
As 0.500 0.500 0.168
As 0.500 0.500 0.832


Entry 2:
An optimized crystal structure of NbCoB4, computed with PBE.

mass density	6416	kg/m³
VASP energy	-7.715	eV/atom
calculated volume	202.0	Å³/cell
calculated formation energy	-401	meV/atom
spin magnetization	0.0000	μB/atom

Lattice parameters (Å, degrees): 5.747 11.174 3.145 90.00 90.00 90.00
Positions (direct):
Nb 0.128 0.151 0.000
Nb 0.372 0.651 0.000
Nb 0.628 0.349 0.000
Nb 0.872 0.849 0.000
Co 0.137 0.408 0.000
Co 0.363 0.908 0.000
Co 0.637 0.092 0.000
Co 0.863 0.592 0.000
B 0.023 0.695 0.500
B 0.116 0.548 0.500
B 0.131 0.967 0.500
B 0.208 0.812 0.500
B 0.292 0.312 0.500
B 0.369 0.467 0.500
B 0.384 0.048 0.500
B 0.477 0.195 0.500
B 0.523 0.805 0.500
B 0.616 0.952 0.500
B 0.631 0.533 0.500
B 0.708 0.688 0.500
B 0.792 0.188 0.500
B 0.869 0.033 0.500
B 0.884 0.452 0.500
B 0.977 0.305 0.500


Entry 3:
An optimized crystal structure of RbSe2SBr, computed with PBE.

mass density	4120	kg/m³
VASP energy	-2.955	eV/atom
calculated volume	143.2	Å³/cell
uncorrected formation energy	-0.208	eV per atom
spin magnetization	0.0682	μB/atom
excess energy over the best structure of this formula in the dataset	0.000	eV/atom

Lattice parameters (Å, degrees): 4.992 4.992 5.747 90.00 90.00 90.00
Positions (direct):
Rb 0.000 0.000 0.000
Se 0.000 0.500 0.500
Se 0.500 0.000 0.500
S 0.500 0.500 0.500
Br 0.500 0.500 0.000


Entry 4:
An optimized crystal structure of BAsPC, computed with PBE.

mass density	4329	kg/m³
VASP energy	-5.997	eV/atom
calculated volume	49.4	Å³/cell
calculated formation energy	493	meV/atom
spin magnetization	0.0000	μB/atom
excess energy over the best structure of this formula in the dataset	0.225	eV/atom

Lattice parameters (Å, degrees): 3.210 3.210 5.664 98.19 98.19 59.06
Positions (direct):
B 0.000 0.000 0.000
As 0.918 0.918 0.397
P 0.649 0.649 0.894
C 0.603 0.603 0.561


Entry 5:
An optimized crystal structure of AlNi5P2, computed with PBE.

mass density	6583	kg/m³
VASP energy	-5.912	eV/atom
calculated volume	96.5	Å³/cell
calculated formation energy	-478	meV/atom
spin magnetization	0.0000	μB/atom

Lattice parameters (Å, degrees): 6.188 6.188 6.188 146.79 131.40 60.13
Positions (direct):
Al 0.000 0.000 0.000
Ni 0.124 0.372 0.752
Ni 0.380 0.628 0.752
Ni 0.500 0.000 0.500
Ni 0.620 0.372 0.248
Ni 0.876 0.628 0.248
P 0.295 0.795 0.500
P 0.705 0.205 0.500


Entry 6:
An optimized crystal structure of PuZnSi2, computed with PBE.

mass density	8332	kg/m³
VASP energy	-6.768	eV/atom
calculated volume	72.9	Å³/cell
uncorrected formation energy	-0.155	eV per atom
spin magnetization	1.3674	μB/atom

Lattice parameters (Å, degrees): 5.331 5.331 5.331 46.52 46.52 46.52
Positions (direct):
Pu 0.000 0.000 0.000
Zn 0.500 0.500 0.500
Si 0.215 0.215 0.215
Si 0.785 0.785 0.785


Entry 7:
An optimized crystal structure of MgGa, computed with PBE.

mass density	3946	kg/m³
VASP energy	-2.397	eV/atom
calculated volume	118.7	Å³/cell
calculated formation energy	-86	meV/atom
spin magnetization	0.0000	μB/atom

Lattice parameters (Å, degrees): 4.868 5.278 5.278 118.91 90.00 90.00
Positions (direct):
Mg 0.000 0.000 0.000
Mg 0.500 0.619 0.966
Mg 0.500 0.966 0.619
Ga 0.000 0.324 0.659
Ga 0.000 0.659 0.324
Ga 0.500 0.300 0.300


Entry 8:
An optimized crystal structure of Pm3Pr2TmTe6, computed with PBE.

mass density	7267	kg/m³
VASP energy	-5.308	eV/atom
calculated volume	377.3	Å³/cell
uncorrected formation energy	-1.381	eV per atom
spin magnetization	0.0000	μB/atom

Lattice parameters (Å, degrees): 9.973 9.973 8.977 102.16 102.16 25.64
Positions (direct):
Pm 0.000 0.000 0.000
Pm 0.325 0.325 0.665
Pm 0.675 0.675 0.335
Pr 0.329 0.329 0.163
Pr 0.671 0.671 0.837
Tm 0.000 0.000 0.500
Te 0.159 0.159 0.575
Te 0.163 0.163 0.085
Te 0.497 0.497 0.738
Te 0.503 0.503 0.262
Te 0.837 0.837 0.915
Te 0.841 0.841 0.425


Entry 9:
An optimized crystal structure of Ca2NiPdC, computed with PBE.

mass density	4552	kg/m³
VASP energy	-5.076	eV/atom
calculated volume	93.9	Å³/cell
calculated formation energy	-236	meV/atom
spin magnetization	0.0000	μB/atom

Lattice parameters (Å, degrees): 5.120 5.120 3.580 90.00 90.00 90.00
Positions (direct):
Ca 0.000 0.500 0.000
Ca 0.500 0.000 0.000
Ni 0.000 0.000 0.500
Pd 0.500 0.500 0.500
C 0.000 0.000 0.000


Entry 10:
An optimized crystal structure of YAlIn2, computed with PBE.

mass density	5889	kg/m³
VASP energy	-4.143	eV/atom
calculated volume	97.4	Å³/cell
calculated formation energy	-222	meV/atom
spin magnetization	0.0000	μB/atom

Lattice parameters (Å, degrees): 3.305 4.883 6.036 90.00 90.02 90.00
Positions (direct):
Y 0.000 0.000 0.000
Al 0.500 0.500 0.224
In 0.499 0.500 0.759
In 0.503 0.000 0.480


Entry 11:
An optimized crystal structure of LaMgCuSi2, computed with PBE.

mass density	4888	kg/m³
VASP energy	-4.777	eV/atom
calculated volume	96.1	Å³/cell
uncorrected formation energy	-0.484	eV per atom
spin magnetization	0.0000	μB/atom

Lattice parameters (Å, degrees): 6.134 6.134 6.134 139.58 139.58 58.48
Positions (direct):
La 0.000 0.000 0.000
Mg 0.250 0.750 0.500
Cu 0.750 0.250 0.500
Si 0.389 0.389 0.000
Si 0.611 0.611 0.000


Entry 12:
An optimized crystal structure of La2Te2Au, computed with PBE.

mass density	7738	kg/m³
VASP energy	-5.129	eV/atom
calculated volume	313.3	Å³/cell
uncorrected formation energy	-1.246	eV per atom
spin magnetization	0.0000	μB/atom
excess energy over the best structure of this formula in the dataset	0.000	eV/atom

Lattice parameters (Å, degrees): 8.529 8.529 4.307 90.00 90.00 90.00
Positions (direct):
La 0.157 0.343 0.000
La 0.343 0.843 0.000
La 0.657 0.157 0.000
La 0.843 0.657 0.000
Te 0.147 0.647 0.500
Te 0.353 0.147 0.500
Te 0.647 0.853 0.500
Te 0.853 0.353 0.500
Au 0.000 0.000 0.000
Au 0.500 0.500 0.000


Entry 13:
An optimized crystal structure of Sm2PdI, computed with PBE.

mass density	7518	kg/m³
VASP energy	-4.238	eV/atom
calculated volume	118.0	Å³/cell
uncorrected formation energy	-0.192	eV per atom
spin magnetization	0.0000	μB/atom
excess energy over the best structure of this formula in the dataset	0.666	eV/atom

Lattice parameters (Å, degrees): 10.704 10.704 10.704 19.37 19.37 19.37
Positions (direct):
Sm 0.085 0.085 0.085
Sm 0.915 0.915 0.915
Pd 0.000 0.000 0.000
I 0.500 0.500 0.500


Entry 14:
An optimized crystal structure of SbPbS2I, computed with PBE.

mass density	5158	kg/m³
VASP energy	-3.935	eV/atom
calculated volume	334.8	Å³/cell
uncorrected formation energy	-0.408	eV per atom
spin magnetization	0.0000	μB/atom

Lattice parameters (Å, degrees): 7.550 5.293 8.733 90.00 106.38 90.00
Positions (direct):
Sb 0.162 0.250 0.421
Sb 0.838 0.750 0.579
Pb 0.207 0.250 0.943
Pb 0.793 0.750 0.057
S 0.046 0.750 0.853
S 0.062 0.750 0.414
S 0.938 0.250 0.586
S 0.954 0.250 0.147
I 0.433 0.750 0.209
I 0.567 0.250 0.791


Entry 15:
An optimized crystal structure of PmY3Bi2, computed with PBE.

mass density	7524	kg/m³
VASP energy	-5.941	eV/atom
calculated volume	183.1	Å³/cell
calculated formation energy	-624	meV/atom
spin magnetization	0.0000	μB/atom
excess energy over the best structure of this formula in the dataset	0.000	eV/atom

Lattice parameters (Å, degrees): 4.589 4.589 8.696 90.00 90.00 90.00
Positions (direct):
Pm 0.000 0.000 0.000
Y 0.000 0.500 0.348
Y 0.500 0.000 0.652
Y 0.500 0.500 0.000
Bi 0.000 0.500 0.715
Bi 0.500 0.000 0.285


Entry 16:
An optimized crystal structure of Tb12Th3Sc, computed with PBE.

mass density	8732	kg/m³
VASP energy	-5.217	eV/atom
calculated volume	503.6	Å³/cell
calculated formation energy	43	meV/atom
spin magnetization	0.0000	μB/atom

Lattice parameters (Å, degrees): 5.023 5.023 19.962 90.00 90.00 90.00
Positions (direct):
Tb 0.000 0.000 0.000
Tb 0.000 0.000 0.247
Tb 0.000 0.000 0.500
Tb 0.000 0.000 0.753
Tb 0.000 0.500 0.122
Tb 0.000 0.500 0.374
Tb 0.000 0.500 0.626
Tb 0.000 0.500 0.878
Tb 0.500 0.000 0.122
Tb 0.500 0.000 0.374
Tb 0.500 0.000 0.626
Tb 0.500 0.000 0.878
Th 0.500 0.500 0.249
Th 0.500 0.500 0.500
Th 0.500 0.500 0.751
Sc 0.500 0.500 0.000


Entry 17:
An optimized crystal structure of BaGa3Pt3, computed with PBE.

mass density	9891	kg/m³
VASP energy	-4.811	eV/atom
calculated volume	312.9	Å³/cell
calculated formation energy	-650	meV/atom
spin magnetization	0.0000	μB/atom
excess energy over the best structure of this formula in the dataset	0.000	eV/atom

Lattice parameters (Å, degrees): 8.569 8.569 8.569 47.49 47.49 47.49
Positions (direct):
Ba 0.162 0.162 0.162
Ba 0.838 0.838 0.838
Ga 0.047 0.605 0.219
Ga 0.219 0.047 0.605
Ga 0.395 0.781 0.953
Ga 0.605 0.219 0.047
Ga 0.781 0.953 0.395
Ga 0.953 0.395 0.781
Pt 0.171 0.642 0.394
Pt 0.358 0.606 0.829
Pt 0.394 0.171 0.642
Pt 0.606 0.829 0.358
Pt 0.642 0.394 0.171
Pt 0.829 0.358 0.606


Entry 18:
An optimized crystal structure of Y5TlPd, computed with PBE.

mass density	6236	kg/m³
VASP energy	-5.920	eV/atom
calculated volume	402.3	Å³/cell
calculated formation energy	-223	meV/atom
spin magnetization	0.0000	μB/atom

Lattice parameters (Å, degrees): 5.942 5.942 11.942 101.20 101.20 80.58
Positions (direct):
Y 0.002 0.998 0.750
Y 0.075 0.432 0.126
Y 0.222 0.529 0.435
Y 0.432 0.075 0.626
Y 0.471 0.778 0.065
Y 0.529 0.222 0.935
Y 0.568 0.925 0.374
Y 0.778 0.471 0.565
Y 0.925 0.568 0.874
Y 0.998 0.002 0.250
Tl 0.403 0.597 0.750
Tl 0.597 0.403 0.250
Pd 0.000 0.000 0.000
Pd 0.000 0.000 0.500


Entry 19:
An optimized crystal structure of Ca3Dy2TmTe6, computed with PBE.

mass density	6283	kg/m³
VASP energy	-4.647	eV/atom
calculated volume	364.7	Å³/cell
uncorrected formation energy	-1.436	eV per atom
spin magnetization	0.0000	μB/atom

Lattice parameters (Å, degrees): 7.590 7.590 7.733 99.44 99.44 119.94
Positions (direct):
Ca 0.000 0.000 0.000
Ca 0.332 0.668 0.000
Ca 0.668 0.332 0.000
Dy 0.166 0.834 0.500
Dy 0.834 0.166 0.500
Tm 0.500 0.500 0.500
Te 0.089 0.419 0.257
Te 0.251 0.251 0.744
Te 0.419 0.089 0.257
Te 0.581 0.911 0.743
Te 0.749 0.749 0.256
Te 0.911 0.581 0.743


Entry 20:
An optimized crystal structure of MgPa2Si4Ir3, computed with PBE.

mass density	11246	kg/m³
VASP energy	-7.690	eV/atom
calculated volume	173.6	Å³/cell
uncorrected formation energy	-0.804	eV per atom
spin magnetization	0.0000	μB/atom

Lattice parameters (Å, degrees): 4.118 4.118 10.234 90.00 90.00 90.00
Positions (direct):
Mg 0.000 0.000 0.000
Pa 0.000 0.500 0.743
Pa 0.500 0.000 0.257
Si 0.000 0.000 0.500
Si 0.000 0.500 0.144
Si 0.500 0.000 0.856
Si 0.500 0.500 0.500
Ir 0.000 0.500 0.376
Ir 0.500 0.000 0.624
Ir 0.500 0.500 0.000


Entry 21:
An optimized crystal structure of Ac2GePRh6, computed with PBE.

mass density	9884	kg/m³
VASP energy	-6.834	eV/atom
calculated volume	197.4	Å³/cell
calculated formation energy	-598	meV/atom
spin magnetization	0.0000	μB/atom

Lattice parameters (Å, degrees): 6.534 6.534 6.534 60.04 60.04 60.04
Positions (direct):
Ac 0.250 0.250 0.250
Ac 0.750 0.750 0.750
Ge 0.000 0.000 0.000
P 0.500 0.500 0.500
Rh 0.258 0.258 0.742
Rh 0.258 0.742 0.258
Rh 0.258 0.742 0.742
Rh 0.742 0.258 0.258
Rh 0.742 0.258 0.742
Rh 0.742 0.742 0.258


Entry 22:
An optimized crystal structure of CdIrSe2Cl, computed with PBE.

mass density	6193	kg/m³
VASP energy	-2.528	eV/atom
calculated volume	133.5	Å³/cell
uncorrected formation energy	1.191	eV per atom
spin magnetization	0.4938	μB/atom

Lattice parameters (Å, degrees): 5.242 5.242 4.858 90.00 90.00 90.00
Positions (direct):
Cd 0.000 0.000 0.000
Ir 0.500 0.500 0.500
Se 0.000 0.500 0.000
Se 0.500 0.000 0.000
Cl 0.000 0.000 0.500


Entry 23:
An optimized crystal structure of Ca3Br, computed with PBE.

mass density	2235	kg/m³
VASP energy	-2.327	eV/atom
calculated volume	148.7	Å³/cell
uncorrected formation energy	-0.408	eV per atom
spin magnetization	0.0000	μB/atom
excess energy over the best structure of this formula in the dataset	0.264	eV/atom

Lattice parameters (Å, degrees): 6.480 6.480 3.858 90.00 90.00 113.37
Positions (direct):
Ca 0.000 0.000 0.000
Ca 0.000 0.500 0.500
Ca 0.500 0.000 0.500
Br 0.500 0.500 0.000